! Hf3AlGe (GGA-PBE, relaxed); values from VASP
! - formation enthalpy at 0 K (eV/atom) = -0.314
! - excess energy over the best structure of this formula in the dataset (meV per atom) = 0
&SYSTEM
  ibrav = 0, nat = 20, ntyp = 3
/
ATOMIC_SPECIES
Hf 178.49 Hf.upf
Al 26.98 Al.upf
Ge 72.64 Ge.upf
ATOMIC_POSITIONS crystal
Hf 0.891 0.834 0.225
Hf 0.627 0.949 0.617
Hf 0.929 0.846 0.843
Al 0.130 0.363 0.537
Hf 0.571 0.346 0.343
Ge 0.143 0.870 0.548
Al 0.870 0.637 0.463
Hf 0.429 0.654 0.657
Al 0.370 0.863 0.037
Hf 0.373 0.051 0.383
Hf 0.609 0.334 0.725
Hf 0.391 0.666 0.275
Al 0.630 0.137 0.963
Hf 0.071 0.154 0.157
Ge 0.357 0.370 0.048
Ge 0.857 0.130 0.452
Hf 0.873 0.449 0.117
Hf 0.127 0.551 0.883
Ge 0.643 0.630 0.952
Hf 0.109 0.166 0.775
CELL_PARAMETERS angstrom
5.369 0.000 0.000
0.000 9.413 0.108
0.000 -2.937 7.892



! Hf8AlGe2 (GGA-PBE, relaxed); values from VASP
! - formation enthalpy at 0 K (eV/atom) = 0.078
&SYSTEM
  ibrav = 0, nat = 11, ntyp = 3
/
ATOMIC_SPECIES
Al 26.98 Al.upf
Hf 178.49 Hf.upf
Ge 72.64 Ge.upf
ATOMIC_POSITIONS crystal
Al 0.000 0.000 0.000
Hf 0.291 0.812 0.422
Hf 0.291 0.422 0.812
Hf 0.709 0.188 0.578
Hf 0.709 0.578 0.188
Hf 0.224 0.405 0.405
Hf 0.776 0.595 0.595
Hf 0.714 0.141 0.141
Hf 0.286 0.859 0.859
Ge 0.695 0.784 0.784
Ge 0.305 0.216 0.216
CELL_PARAMETERS angstrom
5.210 -0.905 -0.687
-1.354 7.433 0.679
-1.354 2.655 6.976



! HfAlGe2 (GGA-PBE, relaxed); values from VASP
! - formation enthalpy at 0 K (eV/atom) = 0.003
&SYSTEM
  ibrav = 0, nat = 8, ntyp = 3
/
ATOMIC_SPECIES
Al 26.98 Al.upf
Ge 72.64 Ge.upf
Hf 178.49 Hf.upf
ATOMIC_POSITIONS crystal
Al 0.250 0.750 0.500
Ge 0.605 0.125 0.250
Al 0.500 0.500 0.000
Hf 0.000 0.000 0.000
Ge 0.875 0.855 0.750
Hf 0.750 0.250 0.500
Ge 0.375 0.395 0.750
Ge 0.145 0.625 0.250
CELL_PARAMETERS angstrom
7.278 0.000 0.000
0.000 7.278 0.000
3.639 3.639 2.879



Total moment readings, ordered: 0.00 0.00 0.00 Bohr magnetons per cell